Computed, not measured: an optimized crystal structure of ZrTl2Ni at the PBE level of DFT.

Results
SG	I-42d, No. 122
spin magnetization	0.0	μB per formula unit
E_tot	-4.523	eV per atom
ρ	10.63	g/cm³
ΔE_f	243	meV/atom

POSCAR file:
```
ZrTl2Ni
1.0
7.681 0.000 0.000
0.000 7.681 0.000
3.840 3.840 2.959
Zr Tl Ni
2 4 2
Cartesian
0.000 0.000 0.000
7.681 3.840 1.480
2.247 5.760 0.740
9.601 9.274 2.219
5.760 6.087 2.219
5.434 1.920 0.740
3.840 3.840 0.000
3.840 7.681 1.480
```